No. 1
# Pr2Hg3Pb3 PBE optimized geometry
data_Pr2Hg3Pb3
_chemical_formula_sum 'Pr2 Hg3 Pb3'
_symmetry_space_group_name_H-M 'P m m m'
_symmetry_Int_Tables_number 47
_symmetry_space_group_name_Hall '-P 2 2'
_cell_length_a 4.820
_cell_length_b 4.897
_cell_length_c 9.422
_cell_angle_alpha 90.00
_cell_angle_beta 90.00
_cell_angle_gamma 90.00
loop_
_atom_site_label
_atom_site_fract_x
_atom_site_fract_y
_atom_site_fract_z
Pr1 0.000 0.000 0.249
Hg1 0.000 0.500 0.000
Hg2 0.500 0.500 0.243
Pb1 0.000 0.500 0.500
Pb2 0.500 0.000 0.000
Pb3 0.500 0.000 0.500
# Mass density: 11.24 Mg/m³
# Total energy: -3.109 eV/atom
# Formation energy: -3.28 eV per formula unit

***

No. 2
# NdAgHg3 PBE optimized geometry
data_NdAgHg3
_chemical_formula_sum 'Nd4 Ag4 Hg12'
_symmetry_space_group_name_H-M 'P n m a'
_symmetry_Int_Tables_number 62
_symmetry_space_group_name_Hall '-P 2ac 2n'
_cell_length_a 9.744
_cell_length_b 5.066
_cell_length_c 9.861
_cell_angle_alpha 90.00
_cell_angle_beta 90.00
_cell_angle_gamma 90.00
loop_
_atom_site_label
_atom_site_fract_x
_atom_site_fract_y
_atom_site_fract_z
Nd1 0.249 0.250 0.003
Ag1 0.124 0.250 0.329
Hg1 0.067 0.250 0.614
Hg2 0.085 0.750 0.865
Hg3 0.131 0.750 0.170
# Mass density: 11.65 Mg/m³
# Total energy: -1.958 eV/atom
# Formation energy: -1.26 eV per formula unit

***

No. 3
# CaEr2Pb2 PBE optimized geometry
data_CaEr2Pb2
_chemical_formula_sum 'Ca2 Er4 Pb4'
_symmetry_space_group_name_H-M 'P -1'
_symmetry_Int_Tables_number 2
_symmetry_space_group_name_Hall '-P 1'
_cell_length_a 5.036
_cell_length_b 8.495
_cell_length_c 8.740
_cell_angle_alpha 118.24
_cell_angle_beta 106.68
_cell_angle_gamma 90.14
loop_
_atom_site_label
_atom_site_fract_x
_atom_site_fract_y
_atom_site_fract_z
Ca1 0.087 0.436 0.170
Er1 0.174 0.907 0.348
Er2 0.353 0.786 0.704
Pb1 0.274 0.336 0.551
Pb2 0.451 0.223 0.900
# Mass density: 8.42 Mg/m³
# Total energy: -4.024 eV/atom
# Formation energy: -1.58 eV per formula unit

***

No. 4
# HfHSe PBE optimized geometry
data_HfHSe
_chemical_formula_sum 'Hf8 H8 Se8'
_symmetry_space_group_name_H-M 'C 1 2/m 1'
_symmetry_Int_Tables_number 12
_symmetry_space_group_name_Hall '-C 2y'
_cell_length_a 18.793
_cell_length_b 3.513
_cell_length_c 6.508
_cell_angle_alpha 90.00
_cell_angle_beta 100.33
_cell_angle_gamma 90.00
loop_
_atom_site_label
_atom_site_fract_x
_atom_site_fract_y
_atom_site_fract_z
Hf1 0.176 0.000 0.086
Hf2 0.188 0.000 0.580
H1 0.245 0.500 0.124
H2 0.249 0.000 0.361
Se1 0.074 0.000 0.280
Se2 0.114 0.500 0.790
# Mass density: 8.12 Mg/m³
# Total energy: -6.327 eV/atom

***

No. 5
# SrAlAs2Br PBE optimized geometry
data_SrAlAs2Br
_chemical_formula_sum 'Sr1 Al1 As2 Br1'
_symmetry_space_group_name_H-M 'P 4/m m m'
_symmetry_Int_Tables_number 123
_symmetry_space_group_name_Hall '-P 4 2'
_cell_length_a 5.919
_cell_length_b 5.919
_cell_length_c 5.825
_cell_angle_alpha 90.00
_cell_angle_beta 90.00
_cell_angle_gamma 90.00
loop_
_atom_site_label
_atom_site_fract_x
_atom_site_fract_y
_atom_site_fract_z
Sr1 0.000 0.000 0.000
Al1 0.500 0.500 0.500
As1 0.000 0.500 0.000
Br1 0.000 0.000 0.500
# Mass density: 2.80 Mg/m³
# Total energy: -2.834 eV/atom
# Formation energy from raw total energies: 0.4454 eV per atom

***

No. 6
# MgTc2Sb PBE optimized geometry
data_MgTc2Sb
_chemical_formula_sum 'Mg1 Tc2 Sb1'
_symmetry_space_group_name_H-M 'P 4 m m'
_symmetry_Int_Tables_number 99
_symmetry_space_group_name_Hall 'P 4 -2'
_cell_length_a 3.046
_cell_length_b 3.046
_cell_length_c 8.258
_cell_angle_alpha 90.00
_cell_angle_beta 90.00
_cell_angle_gamma 90.00
loop_
_atom_site_label
_atom_site_fract_x
_atom_site_fract_y
_atom_site_fract_z
Mg1 0.000 0.000 0.000
Tc1 0.000 0.000 0.599
Tc2 0.500 0.500 0.778
Sb1 0.500 0.500 0.364
# Mass density: 7.41 Mg/m³
# Total energy: -6.565 eV/atom
# Formation energy from raw total energies: 0.0474 eV per atom

***

No. 7
# Li2CaZn PBE optimized geometry
data_Li2CaZn
_chemical_formula_sum 'Li6 Ca3 Zn3'
_symmetry_space_group_name_H-M 'R -3 m'
_symmetry_Int_Tables_number 166
_symmetry_space_group_name_Hall '-R 3 2"'
_cell_length_a 4.5622
_cell_length_b 4.5622
_cell_length_c 14.9200
_cell_angle_alpha 90.00
_cell_angle_beta 90.00
_cell_angle_gamma 120.00
loop_
_atom_site_label
_atom_site_fract_x
_atom_site_fract_y
_atom_site_fract_z
Li1 0.0000 0.0000 0.2134
Ca1 0.0000 0.0000 0.0000
Zn1 0.0000 0.0000 0.5000
# Mass density: 2.21 Mg/m³
# Total energy: -1.827 eV/atom
# Formation energy: -0.20 eV per formula unit

***

No. 8
# Li2InPb PBE optimized geometry
data_Li2InPb
_chemical_formula_sum 'Li6 In3 Pb3'
_symmetry_space_group_name_H-M 'R -3 m'
_symmetry_Int_Tables_number 166
_symmetry_space_group_name_Hall '-R 3 2"'
_cell_length_a 3.3615
_cell_length_b 3.3615
_cell_length_c 27.9391
_cell_angle_alpha 90.00
_cell_angle_beta 90.00
_cell_angle_gamma 120.00
loop_
_atom_site_label
_atom_site_fract_x
_atom_site_fract_y
_atom_site_fract_z
Li1 0.0000 0.0000 0.2479
In1 0.0000 0.0000 0.5000
Pb1 0.0000 0.0000 0.0000
# Mass density: 6.12 Mg/m³
# Total energy: -2.758 eV/atom
# Formation energy: -0.76 eV per formula unit

***

No. 9
# KSbPd PBE optimized geometry
data_KSbPd
_chemical_formula_sum 'K4 Sb4 Pd4'
_symmetry_space_group_name_H-M 'P 1 21/c 1'
_symmetry_Int_Tables_number 14
_symmetry_space_group_name_Hall '-P 2ybc'
_cell_length_a 6.878
_cell_length_b 6.996
_cell_length_c 8.449
_cell_angle_alpha 90.00
_cell_angle_beta 120.93
_cell_angle_gamma 90.00
loop_
_atom_site_label
_atom_site_fract_x
_atom_site_fract_y
_atom_site_fract_z
K1 0.196 0.121 0.407
Sb1 0.265 0.620 0.576
Pd1 0.395 0.616 0.333
# Mass density: 5.09 Mg/m³
# Total energy: -3.939 eV/atom
# Formation energy from raw total energies: -0.4678 eV per atom

***

No. 10
# Li2RePb PBE optimized geometry
data_Li2RePb
_chemical_formula_sum 'Li4 Re2 Pb2'
_symmetry_space_group_name_H-M 'I m m 2'
_symmetry_Int_Tables_number 44
_symmetry_space_group_name_Hall 'I 2 -2'
_cell_length_a 2.992
_cell_length_b 4.623
_cell_length_c 9.191
_cell_angle_alpha 90.00
_cell_angle_beta 90.00
_cell_angle_gamma 90.00
loop_
_atom_site_label
_atom_site_fract_x
_atom_site_fract_y
_atom_site_fract_z
Li1 0.000 0.000 0.000
Li2 0.000 0.500 0.278
Re1 0.000 0.000 0.527
Pb1 0.000 0.500 0.751
# Mass density: 10.64 Mg/m³
# Total energy: -4.510 eV/atom
# Formation energy: 1.94 eV per formula unit

***

No. 11
# NbN2OF PBE optimized geometry
data_NbN2OF
_chemical_formula_sum 'Nb1 N2 O1 F1'
_symmetry_space_group_name_H-M 'P 4/m m m'
_symmetry_Int_Tables_number 123
_symmetry_space_group_name_Hall '-P 4 2'
_cell_length_a 3.595
_cell_length_b 3.595
_cell_length_c 3.609
_cell_angle_alpha 90.00
_cell_angle_beta 90.00
_cell_angle_gamma 90.00
loop_
_atom_site_label
_atom_site_fract_x
_atom_site_fract_y
_atom_site_fract_z
Nb1 0.000 0.000 0.000
N1 0.000 0.500 0.500
O1 0.500 0.500 0.000
F1 0.500 0.500 0.500
# Mass density: 5.55 Mg/m³
# Total energy: -5.429 eV/atom
# Formation energy from raw total energies: 1.2815 eV per atom

***

No. 12
# CeThZnCd PBE optimized geometry
data_CeThZnCd
_chemical_formula_sum 'Ce1 Th1 Zn1 Cd1'
_symmetry_space_group_name_H-M 'P 4 m m'
_symmetry_Int_Tables_number 99
_symmetry_space_group_name_Hall 'P 4 -2'
_cell_length_a 3.322
_cell_length_b 3.322
_cell_length_c 9.107
_cell_angle_alpha 90.00
_cell_angle_beta 90.00
_cell_angle_gamma 90.00
loop_
_atom_site_label
_atom_site_fract_x
_atom_site_fract_y
_atom_site_fract_z
Ce1 0.000 0.000 0.000
Th1 0.000 0.000 0.465
Zn1 0.500 0.500 0.229
Cd1 0.500 0.500 0.736
# Mass density: 9.09 Mg/m³
# Total energy: -4.033 eV/atom
# Formation energy: -0.59 eV per formula unit